Compound: TbTm4Pb5
Source: Alexandria via LeMat-Bulk
Functional: PBE
Structure: relaxed

Cell and atoms, written as extended XYZ:
```
10
Lattice="-1.448 -0.038 -3.240 -3.030 -1.240 1.369 -7.126 20.669 2.943" Properties=species:S:1:pos:R:3 pbc="T T T"
Tb 0.000 0.000 0.000
Tm -1.433 4.158 0.592
Tm -2.854 8.278 1.178
Tm -4.272 12.392 1.764
Tm -5.692 16.512 2.351
Pb -2.967 1.473 -0.635
Pb -4.384 5.581 -0.050
Pb -5.802 9.696 0.536
Pb -7.221 13.811 1.122
Pb -8.637 17.919 1.707
```

## Properties
For the energy of formation, the calculation gives -0.39 eV per atom. The energy above the most stable polymorph in this dataset comes out at 0 meV/atom. The total energy comes out at -44.91 eV/cell.


Compound: Tb2TmPb
Source: Alexandria via LeMat-Bulk
Functional: PBE
Structure: relaxed

Cell and atoms, written as extended XYZ:
```
8
Lattice="3.606 0.000 0.000 -1.803 6.335 0.000 0.000 0.000 10.502" Properties=species:S:1:pos:R:3 pbc="T T T"
Tb -0.001 4.666 5.529
Tb 1.804 1.670 4.974
Tb -0.001 4.666 10.225
Tb 1.804 1.670 0.278
Tm 1.804 5.841 2.626
Tm -0.002 0.494 7.877
Pb 1.800 3.270 7.877
Pb 0.003 3.066 2.626
```

## Properties
For the energy of formation, the calculation gives -0.24 eV per atom. The energy above the most stable polymorph in this dataset comes out at 37 meV/atom. The total energy comes out at -36.78 eV/cell.


Compound: Tb3Tm4Pb4
Source: Alexandria via LeMat-Bulk
Functional: PBE
Structure: relaxed

Cell and atoms, written as extended XYZ:
```
11
Lattice="4.189 0.000 0.000 0.000 9.361 0.000 -2.094 -4.680 8.482" Properties=species:S:1:pos:R:3 pbc="T T T"
Tb 0.000 0.000 1.855
Tb 2.094 4.680 6.627
Tb 0.000 4.680 0.000
Tm 0.000 -1.825 5.591
Tm 2.094 2.855 2.891
Tm 2.094 6.506 2.891
Tm 0.000 1.825 5.591
Pb 0.000 4.680 4.222
Pb 2.094 0.000 4.260
Pb 2.094 7.408 0.000
Pb 2.094 1.953 0.000
```

## Properties
For the energy of formation, the calculation gives -0.33 eV per atom. The total energy comes out at -50.20 eV/cell.


Compound: TbTm4Pb5
Source: Alexandria via LeMat-Bulk
Functional: PBE
Structure: relaxed

Cell and atoms, written as extended XYZ:
```
10
Lattice="6.248 0.000 0.000 3.124 6.984 0.000 3.124 0.000 6.984" Properties=species:S:1:pos:R:3 pbc="T T T"
Tb 0.023 0.000 0.000
Tm 6.250 2.796 5.611
Tm 9.374 5.611 4.188
Tm 3.126 1.373 2.796
Tm 6.250 4.188 1.373
Pb 9.373 2.809 5.559
Pb 6.250 5.559 4.175
Pb 6.250 1.425 2.809
Pb 3.126 4.175 1.425
Pb 3.148 0.000 0.000
```

## Properties
For the energy of formation, the calculation gives -0.28 eV per atom. The energy above the most stable polymorph in this dataset comes out at 110 meV/atom. The total energy comes out at -43.81 eV/cell.


Compound: Tb3TmPb4
Source: Alexandria via LeMat-Bulk
Functional: PBE
Structure: relaxed

Cell and atoms, written as extended XYZ:
```
16
Lattice="6.414 0.000 0.000 0.000 6.412 0.000 0.000 0.000 11.133" Properties=species:S:1:pos:R:3 pbc="T T T"
Tb 2.819 0.004 0.000
Tb 1.215 4.799 2.782
Tb 4.422 1.613 2.784
Tb 6.026 6.408 5.566
Tb 4.422 1.613 8.348
Tb 1.215 4.799 8.351
Tm 6.025 3.204 0.000
Tm 2.818 3.208 5.566
Pb 6.025 6.410 0.000
Pb 2.820 3.209 0.000
Pb 1.215 1.596 2.782
Pb 4.422 4.816 2.784
Pb 6.027 3.202 5.566
Pb 2.817 0.002 5.566
Pb 4.422 4.816 8.348
Pb 1.215 1.596 8.351
```

## Properties
For the energy of formation, the calculation gives -0.44 eV per atom. The total energy comes out at -73.45 eV/cell.


Compound: TbTm5Pb3
Source: Alexandria via LeMat-Bulk
Functional: PBE
Structure: relaxed

Cell and atoms, written as extended XYZ:
```
18
Lattice="6.558 0.000 0.000 0.000 8.124 -4.690 0.000 0.005 9.389" Properties=species:S:1:pos:R:3 pbc="T T T"
Tb 0.000 0.000 0.000
Tb 3.279 0.000 0.000
Tm 0.000 5.417 0.002
Tm 3.279 2.711 4.696
Tm 0.000 2.711 4.696
Tm 3.279 5.417 0.002
Tm 4.918 5.393 3.118
Tm 4.918 8.125 -1.530
Tm 4.918 2.733 -1.578
Tm 1.639 2.736 1.581
Tm 1.639 0.004 6.229
Tm 1.639 5.391 -3.112
Pb 4.918 2.696 1.557
Pb 4.918 0.005 6.275
Pb 4.918 5.431 -3.135
Pb 1.639 5.432 3.142
Pb 1.639 8.124 -1.577
Pb 1.639 2.693 -1.555
```

## Properties
For the energy of formation, the calculation gives -0.33 eV per atom. The total energy comes out at -82.23 eV/cell.


Compound: Tb4TmPb2
Source: Alexandria via LeMat-Bulk
Functional: PBE
Structure: relaxed

Cell and atoms, written as extended XYZ:
```
7
Lattice="5.367 0.000 0.000 0.000 5.367 0.000 -2.683 -2.683 8.328" Properties=species:S:1:pos:R:3 pbc="T T T"
Tb 2.683 2.683 5.281
Tb 0.000 0.000 3.046
Tb 0.000 2.683 0.000
Tb 2.683 0.000 0.000
Tm 0.000 0.000 0.000
Pb 2.683 2.683 2.181
Pb 0.000 0.000 6.146
```

## Properties
For the energy of formation, the calculation gives 0.41 eV per atom. The total energy comes out at -27.52 eV/cell.


Compound: TbTmPb
Source: Alexandria via LeMat-Bulk
Functional: PBE
Structure: relaxed

Cell and atoms, written as extended XYZ:
```
6
Lattice="4.439 0.173 -1.191 -0.492 4.415 -1.191 0.028 0.032 8.986" Properties=species:S:1:pos:R:3 pbc="T T T"
Tb 1.305 1.517 5.083
Tb 2.670 3.104 1.521
Tm 2.220 0.087 -0.596
Tm -0.246 2.208 -0.596
Pb 3.427 3.983 4.468
Pb 0.548 0.637 2.136
```

## Properties
For the energy of formation, the calculation gives -0.42 eV per atom. The total energy comes out at -28.14 eV/cell.


Compound: TbTm3Pb5
Source: Alexandria via LeMat-Bulk
Functional: PBE
Structure: relaxed

Cell and atoms, written as extended XYZ:
```
18
Lattice="-2.293 0.236 -6.087 8.364 -3.093 -3.270 -6.789 -6.225 2.316" Properties=species:S:1:pos:R:3 pbc="T T T"
Tb 0.000 0.000 0.000
Tb -1.146 0.118 -3.043
Tm 1.456 -0.997 -5.806
Tm -0.743 -5.604 -5.157
Tm -4.297 -2.187 -3.686
Tm 4.616 -1.860 -3.550
Tm 0.025 -3.478 -1.884
Tm -4.785 -3.803 -0.085
Pb -1.738 -5.181 0.454
Pb 2.167 -4.019 -4.451
Pb 3.313 -4.137 -1.408
Pb -2.884 -5.063 -2.589
Pb 4.202 -2.013 -6.880
Pb -1.260 -2.544 -4.844
Pb -6.526 -4.231 -2.925
Pb 1.869 -0.844 -2.477
Pb 0.542 -6.538 -2.197
Pb -2.556 -1.759 -0.845
```

## Properties
For the energy of formation, the calculation gives -0.35 eV per atom. The total energy comes out at -79.49 eV/cell.


Compound: TbTm7Pb2
Source: Alexandria via LeMat-Bulk
Functional: PBE
Structure: relaxed

Cell and atoms, written as extended XYZ:
```
10
Lattice="5.347 0.000 0.000 0.000 8.969 -0.188 0.000 -4.214 7.920" Properties=species:S:1:pos:R:3 pbc="T T T"
Tb 0.000 0.000 0.000
Tm 0.000 6.052 1.606
Tm 0.000 -1.297 6.126
Tm 2.673 -0.730 2.374
Tm 2.673 5.485 5.358
Tm 2.673 2.448 0.419
Tm 2.673 2.307 7.313
Tm 2.673 2.378 3.866
Pb 2.673 4.933 2.294
Pb 2.673 -0.178 5.438
```

## Properties
For the energy of formation, the calculation gives 0.29 eV per atom. The total energy comes out at -40.46 eV/cell.


Compound: TbTmPb
Source: Alexandria via LeMat-Bulk
Functional: PBE
Structure: relaxed

Cell and atoms, written as extended XYZ:
```
3
Lattice="-0.465 -1.396 2.992 2.665 -1.942 -0.492 4.104 7.874 2.452" Properties=species:S:1:pos:R:3 pbc="T T T"
Pb 1.369 1.632 0.974
Tm 3.845 1.603 3.202
Tb 5.834 3.975 4.618
```

## Properties
For the energy of formation, the calculation gives 0.27 eV per atom. The total energy comes out at -11.99 eV/cell.


Compound: TbTmPb
Source: Alexandria via LeMat-Bulk
Functional: PBE
Structure: relaxed

Cell and atoms, written as extended XYZ:
```
12
Lattice="-2.860 0.777 -3.344 0.982 -7.293 -2.536 -8.637 -3.452 6.583" Properties=species:S:1:pos:R:3 pbc="T T T"
Tm -4.931 -5.519 -1.544
Tm -1.463 -1.250 -0.532
Tm -5.583 -4.448 2.247
Tm -9.051 -8.717 1.236
Tb -9.504 -5.263 2.425
Tb -5.078 -8.297 0.920
Tb -1.011 -4.705 -1.722
Tb -5.436 -1.670 -0.217
Pb -2.731 -6.502 -3.654
Pb -3.187 -3.801 0.349
Pb -7.783 -3.466 4.357
Pb -7.328 -6.167 0.355
```

## Properties
For the energy of formation, the calculation gives -0.15 eV per atom. The total energy comes out at -52.99 eV/cell.


Compound: TbTm3Pb12
Source: Alexandria via LeMat-Bulk
Functional: PBE
Structure: relaxed

Cell and atoms, written as extended XYZ:
```
16
Lattice="-0.436 2.805 -3.999 3.725 -2.407 -2.094 -12.367 -12.615 -7.502" Properties=species:S:1:pos:R:3 pbc="T T T"
Tb 0.000 0.000 0.000
Tm -3.093 -3.154 -1.876
Tm -6.184 -6.307 -3.751
Tm -9.274 -9.460 -5.626
Pb 1.645 0.199 -3.046
Pb -1.457 -2.964 -4.928
Pb -4.539 -6.108 -6.797
Pb -7.621 -9.252 -8.667
Pb -1.780 -0.191 -2.947
Pb -4.859 -3.331 -4.815
Pb -7.944 -6.479 -6.686
Pb -11.022 -9.618 -8.553
Pb 0.300 -2.797 -1.995
Pb -2.778 -5.937 -3.862
Pb -5.864 -9.084 -5.734
Pb -8.942 -12.224 -7.601
```

## Properties
For the energy of formation, the calculation gives -0.24 eV per atom. The total energy comes out at -66.42 eV/cell.


Compound: Tb5Tm3Pb2
Source: Alexandria via LeMat-Bulk
Functional: PBE
Structure: relaxed

Cell and atoms, written as extended XYZ:
```
20
Lattice="-2.660 5.401 -1.953 -8.239 2.015 6.539 6.190 8.016 3.482" Properties=species:S:1:pos:R:3 pbc="T T T"
Tb -1.689 6.366 4.523
Tb -3.019 9.066 3.546
Tb -2.867 10.218 6.525
Tb -3.171 7.914 0.568
Tb -1.841 5.214 1.545
Tb -1.537 7.517 7.501
Tb -3.502 3.552 4.339
Tb -1.207 11.879 3.730
Tb 0.002 8.263 2.338
Tb -4.711 7.169 5.731
Tm -0.665 1.350 -0.488
Tm -1.995 4.051 -1.464
Tm 2.062 10.064 4.513
Tm -6.771 5.368 3.557
Tm -7.958 9.150 5.377
Tm 3.249 6.282 2.692
Pb -6.206 2.249 4.418
Pb 1.498 13.183 3.651
Pb 2.657 9.189 1.282
Pb -7.366 6.243 6.788
```

## Properties
For the energy of formation, the calculation gives 0.10 eV per atom. The total energy comes out at -85.90 eV/cell.


Compound: Tb4Tm4Pb
Source: Alexandria via LeMat-Bulk
Functional: PBE
Structure: relaxed

Cell and atoms, written as extended XYZ:
```
9
Lattice="-2.292 3.635 -2.140 -4.698 -3.075 -5.576 -6.739 1.250 3.955" Properties=species:S:1:pos:R:3 pbc="T T T"
Tb -4.690 0.332 -5.182
Tb -9.039 1.478 1.420
Tb -10.765 0.177 -4.324
Tb -2.963 1.633 0.563
Tm -5.388 1.786 -1.965
Tm -8.340 0.025 -1.796
Tm -7.681 2.024 -4.489
Tm -6.047 -0.214 0.727
Pb 0.000 0.000 0.000
```

## Properties
For the energy of formation, the calculation gives -0.08 eV per atom. The total energy comes out at -40.87 eV/cell.


Compound: TbTm2Pb9
Source: Alexandria via LeMat-Bulk
Functional: PBE
Structure: relaxed

Cell and atoms, written as extended XYZ:
```
12
Lattice="-0.617 -4.436 -1.909 4.695 -0.100 -1.285 3.396 -6.012 12.876" Properties=species:S:1:pos:R:3 pbc="T T T"
Tb 0.000 0.000 0.000
Tm 1.131 -2.002 4.287
Tm 2.265 -4.011 8.589
Pb 2.039 -2.268 -1.597
Pb 3.174 -4.277 2.705
Pb 4.301 -6.271 6.976
Pb 0.263 -3.229 1.211
Pb 1.390 -5.224 5.483
Pb 2.517 -7.220 9.756
Pb 2.919 -1.061 1.523
Pb 4.046 -3.056 5.795
Pb 5.173 -5.051 10.068
```

## Properties
For the energy of formation, the calculation gives -0.24 eV per atom. The total energy comes out at -49.86 eV/cell.


Compound: TbTmPb
Source: Alexandria via LeMat-Bulk
Functional: PBE
Structure: relaxed

Cell and atoms, written as extended XYZ:
```
6
Lattice="-1.309 3.339 2.803 -0.139 -2.957 3.457 8.171 1.706 1.786" Properties=species:S:1:pos:R:3 pbc="T T T"
Tb 4.368 2.890 4.143
Tb 2.355 -0.802 3.903
Tm -1.086 0.286 4.695
Tm -0.362 0.095 1.565
Pb 5.437 -0.157 4.576
Pb 1.286 2.245 3.470
```

## Properties
For the energy of formation, the calculation gives -0.42 eV per atom. The total energy comes out at -28.14 eV/cell.


Compound: Tb3TmPb
Source: Alexandria via LeMat-Bulk
Functional: PBE
Structure: relaxed

Cell and atoms, written as extended XYZ:
```
10
Lattice="3.586 0.355 -0.166 -0.780 8.032 0.354 -1.048 -2.963 10.409" Properties=species:S:1:pos:R:3 pbc="T T T"
Tb 0.282 -0.125 5.905
Tb 1.620 2.089 0.210
Tb 0.149 -0.418 2.381
Tb 1.476 5.550 4.692
Tb 1.609 5.843 8.216
Tb 0.138 3.335 10.387
Tm -0.002 3.144 6.785
Tm 1.760 2.281 3.812
Pb 2.084 1.174 8.465
Pb -0.327 4.251 2.132
```

## Properties
For the energy of formation, the calculation gives -0.18 eV per atom. The total energy comes out at -45.91 eV/cell.


Compound: TbTm8Pb6
Source: Alexandria via LeMat-Bulk
Functional: PBE
Structure: relaxed

Cell and atoms, written as extended XYZ:
```
15
Lattice="9.026 0.000 0.000 4.513 7.817 0.000 4.513 2.606 6.554" Properties=species:S:1:pos:R:3 pbc="T T T"
Tb 0.000 0.000 0.000
Tm 7.529 2.596 2.074
Tm 10.542 2.607 4.479
Tm 6.013 5.200 4.479
Tm 13.539 7.817 6.552
Tm 4.513 2.606 0.001
Tm 12.039 5.222 2.074
Tm 7.510 7.815 2.074
Tm 10.523 7.826 4.479
Pb 7.542 2.605 5.197
Pb 10.541 2.623 1.356
Pb 6.027 5.193 1.356
Pb 12.025 5.229 5.197
Pb 7.511 7.800 5.197
Pb 10.510 7.817 1.356
```

## Properties
For the energy of formation, the calculation gives -0.29 eV per atom. The total energy comes out at -67.08 eV/cell.


Compound: TbTmPb2
Source: Alexandria via LeMat-Bulk
Functional: PBE
Structure: relaxed

Cell and atoms, written as extended XYZ:
```
16
Lattice="-0.344 -3.553 -5.216 -4.318 -3.677 2.790 -8.276 8.705 -1.335" Properties=species:S:1:pos:R:3 pbc="T T T"
Tb -7.036 -1.964 -0.969
Tb -5.901 3.438 -2.791
Tb -5.161 -5.438 -2.647
Tb -7.776 6.913 -1.113
Tm -8.216 -0.206 -4.007
Tm -4.722 1.681 0.247
Tm -10.129 3.322 -2.319
Tm -2.808 -1.847 -1.442
Pb -2.796 -3.778 -3.957
Pb -10.141 5.252 0.197
Pb -5.084 0.053 -2.449
Pb -7.853 1.422 -1.311
Pb -8.195 5.323 -3.829
Pb -4.742 -3.848 0.069
Pb -5.843 1.461 -5.280
Pb -7.094 0.014 1.519
```

## Properties
For the energy of formation, the calculation gives -0.44 eV per atom. The total energy comes out at -73.04 eV/cell.


Compound: Tb2TmPb9
Source: Alexandria via LeMat-Bulk
Functional: PBE
Structure: relaxed

Cell and atoms, written as extended XYZ:
```
12
Lattice="4.878 0.000 0.000 0.000 4.878 0.000 0.000 0.000 14.622" Properties=species:S:1:pos:R:3 pbc="T T T"
Tb 0.000 0.000 4.879
Tb 0.000 0.000 9.743
Tm 0.000 0.000 0.000
Pb 2.439 2.439 0.000
Pb 2.439 2.439 4.862
Pb 2.439 2.439 9.759
Pb 2.439 0.000 2.414
Pb 2.439 0.000 7.311
Pb 2.439 0.000 12.207
Pb 0.000 2.439 2.414
Pb 0.000 2.439 7.311
Pb 0.000 2.439 12.207
```

## Properties
For the energy of formation, the calculation gives -0.27 eV per atom. The total energy comes out at -50.33 eV/cell.